Record 1
A plane-wave DFT calculation with PBE was carried out for a geometry-optimized LiPbAuSeS2 structure.

```
LiPbAuSeS2
1.0
-6.678 0.381 -2.263
6.549 -2.375 -1.157
-2.279 -8.834 5.239
Pb Li Se S Au
2 2 2 4 2
direct
0.500 0.500 0.000
0.500 0.500 0.500
0.804 0.196 0.750
0.196 0.804 0.250
0.577 0.423 0.250
0.423 0.577 0.750
0.143 0.857 0.968
0.857 0.143 0.468
0.857 0.143 0.032
0.143 0.857 0.532
0.848 0.152 0.250
0.152 0.848 0.750
```

Values from the calculation:
SG: Cmcm (63)
E in eV/atom: -3.7445

=====

Record 2
A plane-wave DFT calculation with PBE was carried out for a geometry-optimized BaZnTe2O7 structure.

```
BaZnTe2O7
1.0
-4.424 2.652 -2.123
-5.103 -5.866 3.305
2.672 7.228 3.463
Te O Ba Zn
4 14 2 2
direct
0.250 0.698 0.554
0.250 0.188 0.030
0.750 0.554 0.698
0.750 0.030 0.188
0.496 0.339 0.022
0.492 0.417 0.707
0.992 0.707 0.417
0.008 0.417 0.707
0.750 0.731 0.007
0.504 0.022 0.339
0.508 0.707 0.417
0.750 0.324 0.357
0.500 0.995 0.995
0.250 0.007 0.731
0.004 0.339 0.022
0.996 0.022 0.339
0.250 0.357 0.324
0.000 0.995 0.995
0.750 0.081 0.662
0.250 0.662 0.081
0.250 0.240 0.474
0.750 0.474 0.240
```

Values from the calculation:
SG: Ama2 (40)
E in eV/atom: -5.5371

=====

Record 3
A plane-wave DFT calculation with PBE was carried out for a geometry-optimized SnHgBi structure.

```
SnHgBi
1.0
0.000 3.668 3.668
3.668 0.000 3.668
3.668 3.668 0.000
Hg Sn Bi
1 1 1
direct
0.000 0.000 0.000
0.250 0.250 0.250
0.500 0.500 0.500
```

Values from the calculation:
SG: F-43m (216)
E in eV/atom: -2.6835

=====

Record 4
A plane-wave DFT calculation with PBE was carried out for a geometry-optimized USeS structure.

```
USeS
1.0
4.574 0.000 0.000
-2.287 3.961 0.000
0.000 0.000 6.625
S Se U
2 2 2
direct
0.667 0.333 0.503
0.333 0.667 0.003
0.333 0.667 0.501
0.667 0.333 0.001
0.000 0.000 0.746
0.000 0.000 0.246
```

Values from the calculation:
SG: P6_3mc (186)
E in eV/atom: -6.8762
Size of the total moment in μB/atom: 0.7888

=====

Record 5
A plane-wave DFT calculation with PBE was carried out for a geometry-optimized ErAlAsO structure.

```
ErAlAsO
1.0
-2.513 -1.292 -2.733
1.122 -4.593 1.140
-4.933 -0.071 4.569
As Al O Er
2 2 2 2
direct
0.000 0.649 0.286
0.000 0.351 0.786
0.000 0.150 0.439
0.000 0.850 0.939
0.500 0.870 0.930
0.500 0.130 0.430
0.500 0.303 0.099
0.500 0.697 0.599
```

Values from the calculation:
SG: Pmc2_1 (26)
E in eV/atom: -6.0939
Size of the total moment in μB/atom: 0.0003

=====

Record 6
A plane-wave DFT calculation with PBE was carried out for a geometry-optimized DyGePd structure.

```
DyGePd
1.0
-1.866 -2.460 -3.151
-2.344 -4.983 5.278
-6.864 9.109 0.040
Ge Dy Pd
6 6 6
direct
0.406 0.251 0.811
0.935 0.779 0.870
0.065 0.909 0.130
0.235 0.398 0.471
0.594 0.439 0.189
0.765 0.927 0.529
0.334 0.798 0.667
0.000 0.465 0.000
0.500 0.048 0.000
0.666 0.131 0.333
0.167 0.709 0.335
0.833 0.374 0.665
0.572 0.749 0.144
0.104 0.276 0.208
0.896 0.068 0.792
0.428 0.605 0.856
0.267 0.101 0.533
0.733 0.567 0.467
```

Values from the calculation:
SG: Imm2 (44)
E in eV/atom: -5.7925
Size of the total moment in μB/atom: 0.0006

=====

Record 7
A plane-wave DFT calculation with PBE was carried out for a geometry-optimized Sr2ZrPtS6 structure.

```
Sr2ZrPtS6
1.0
-6.441 -0.277 2.117
-1.600 -3.383 5.660
3.582 5.989 0.358
Pt S Sr Zr
1 6 2 1
direct
0.000 0.000 0.000
0.242 0.242 0.336
0.188 0.703 0.188
0.758 0.758 0.664
0.297 0.812 0.812
0.812 0.297 0.812
0.703 0.188 0.188
0.253 0.253 0.765
0.747 0.747 0.235
0.500 0.500 0.500
```

Values from the calculation:
SG: C2/m (12)
E in eV/atom: -5.5207
Size of the total moment in μB/atom: 0.0000

=====

Record 8
A plane-wave DFT calculation with PBE was carried out for a geometry-optimized NbTc structure.

```
NbTc
1.0
1.676 -3.240 -0.670
-2.027 -3.029 -0.688
-0.067 -1.451 -3.412
Tc Nb
1 1
direct
0.500 0.500 0.500
0.000 0.000 0.000
```

Values from the calculation:
SG: Fm-3m (225)
Size of the total moment in μB/atom: 0.0138
Energy of formation from the pure elements in eV per atom: 0.71